--- 1 ---
Entry from Alexandria: a relaxed LaTcBr3 crystal (PBE).

Cell lengths 5.871, 5.871, 5.871 Å; angles 90.00, 90.00, 90.00 degrees
Fractional coordinates of all 5 atoms:
La: 0.000 0.000 0.000
Tc: 0.500 0.500 0.500
Br: 0.000 0.000 0.500
Br: 0.000 0.500 0.000
Br: 0.500 0.000 0.000

SG: Pm-3m, No. 221
Theoretical density: 3.9 g cm⁻³


--- 2 ---
Entry from Alexandria: a relaxed LaTcBr3 crystal (PBE).

Cell lengths 5.037, 5.037, 5.037 Å; angles 90.00, 90.00, 90.00 degrees
Fractional coordinates of all 5 atoms:
La: 0.000 0.000 0.000
Tc: 0.500 0.500 0.500
Br: 0.000 0.500 0.500
Br: 0.500 0.000 0.500
Br: 0.500 0.500 0.000

SG: Pm-3m, No. 221
Theoretical density: 6.2 g cm⁻³


Relative energy of each structure, in eV/atom: 1 0.024; 2 0.000.


--- 1 ---
Entry from Alexandria: a relaxed LaTcBr crystal (PBE).

Cell lengths 6.895, 6.895, 6.895 Å; angles 151.34, 151.34, 40.97 degrees
Fractional coordinates of all 3 atoms:
La: 0.000 0.000 0.000
Tc: 0.345 0.345 0.000
Br: 0.673 0.673 0.000

SG: I4mm, No. 107
Theoretical density: 7.0 g cm⁻³


--- 2 ---
Entry from Alexandria: a relaxed LaTcBr crystal (PBE).

Cell lengths 6.599, 6.226, 3.675 Å; angles 79.00, 67.86, 33.14 degrees
Fractional coordinates of all 3 atoms:
La: 0.000 0.000 0.000
Tc: 0.386 0.386 0.614
Br: 0.715 0.715 0.285

SG: Fmm2, No. 42
Theoretical density: 7.1 g cm⁻³


Relative energy of each structure, in eV/atom: 1 0.052; 2 0.000.


--- 1 ---
Entry from Alexandria: a relaxed La3TcBr crystal (PBE).

Cell lengths 4.254, 7.232, 9.936 Å; angles 90.00, 90.00, 90.00 degrees
Fractional coordinates of all 10 atoms:
La: 0.250 0.002 0.150
La: 0.250 0.250 0.597
La: 0.250 0.498 0.150
La: 0.750 0.502 0.850
La: 0.750 0.750 0.403
La: 0.750 0.998 0.850
Tc: 0.250 0.250 0.899
Tc: 0.750 0.750 0.101
Br: 0.250 0.750 0.644
Br: 0.750 0.250 0.356

SG: Pmmn, No. 59
Theoretical density: 6.5 g cm⁻³


--- 2 ---
Entry from Alexandria: a relaxed La3TcBr crystal (PBE).

Cell lengths 5.548, 5.548, 5.548 Å; angles 90.00, 90.00, 90.00 degrees
Fractional coordinates of all 5 atoms:
La: 0.000 0.000 0.500
La: 0.000 0.500 0.000
La: 0.500 0.000 0.000
Tc: 0.000 0.000 0.000
Br: 0.500 0.500 0.500

SG: Pm-3m, No. 221
Theoretical density: 5.8 g cm⁻³


Relative energy of each structure, in eV/atom: 1 0.000; 2 0.193.


--- 1 ---
Entry from Alexandria: a relaxed LaTeBr2 crystal (PBE).

Cell lengths 5.454, 5.454, 5.454 Å; angles 60.00, 60.00, 60.00 degrees
Fractional coordinates of all 4 atoms:
La: 0.000 0.000 0.000
Te: 0.500 0.500 0.500
Br: 0.250 0.250 0.250
Br: 0.750 0.750 0.750

SG: Fm-3m, No. 225
Theoretical density: 6.2 g cm⁻³


--- 2 ---
Entry from Alexandria: a relaxed LaTeBr2 crystal (PBE).

Cell lengths 12.172, 12.172, 12.172 Å; angles 18.15, 18.15, 18.15 degrees
Fractional coordinates of all 4 atoms:
La: 0.000 0.000 0.000
Te: 0.500 0.500 0.500
Br: 0.390 0.390 0.390
Br: 0.610 0.610 0.610

SG: R-3m, No. 166
Theoretical density: 4.6 g cm⁻³


--- 3 ---
Entry from Alexandria: a relaxed LaTeBr2 crystal (PBE).

Cell lengths 4.511, 4.511, 5.987 Å; angles 90.00, 90.00, 90.00 degrees
Fractional coordinates of all 4 atoms:
La: 0.000 0.000 0.000
Te: 0.500 0.500 0.202
Br: 0.000 0.000 0.494
Br: 0.500 0.500 0.719

SG: P4mm, No. 99
Theoretical density: 5.8 g cm⁻³


Relative energy of each structure, in eV/atom: 1 0.207; 2 0.252; 3 0.000.


--- 1 ---
Entry from Alexandria: a relaxed LaTeBr2 crystal (PBE).

Cell lengths 4.854, 4.657, 5.959 Å; angles 90.00, 107.43, 90.00 degrees
Fractional coordinates of all 4 atoms:
La: 0.000 0.000 0.000
Te: 0.431 0.500 0.851
Br: 0.290 0.500 0.314
Br: 0.833 0.000 0.476

SG: Pm, No. 6
Theoretical density: 5.5 g cm⁻³


--- 2 ---
Entry from Alexandria: a relaxed LaTeBr2 crystal (PBE).

Cell lengths 3.670, 3.670, 9.319 Å; angles 90.00, 90.00, 90.00 degrees
Fractional coordinates of all 4 atoms:
La: 0.000 0.000 0.000
Te: 0.000 0.000 0.500
Br: 0.500 0.500 0.182
Br: 0.500 0.500 0.818

SG: P4/mmm, No. 123
Theoretical density: 5.6 g cm⁻³


--- 3 ---
Entry from Alexandria: a relaxed LaTeBr2 crystal (PBE).

Cell lengths 11.244, 11.244, 11.244 Å; angles 19.70, 19.70, 19.70 degrees
Fractional coordinates of all 4 atoms:
La: 0.000 0.000 0.000
Te: 0.500 0.500 0.500
Br: 0.273 0.273 0.273
Br: 0.727 0.727 0.727

SG: R-3m, No. 166
Theoretical density: 5.0 g cm⁻³


Relative energy of each structure, in eV/atom: 1 0.000; 2 0.202; 3 0.357.


--- 1 ---
Entry from Alexandria: a relaxed LaTeBr2 crystal (PBE).

Cell lengths 6.427, 6.427, 7.563 Å; angles 114.59, 114.59, 36.55 degrees
Fractional coordinates of all 4 atoms:
La: 0.000 0.000 0.000
Te: 0.283 0.283 0.001
Br: 0.475 0.475 0.698
Br: 0.639 0.639 0.303

SG: Cm, No. 8
Theoretical density: 4.2 g cm⁻³


--- 2 ---
Entry from Alexandria: a relaxed LaTeBr2 crystal (PBE).

Cell lengths 8.156, 8.156, 8.156 Å; angles 151.27, 141.28, 48.92 degrees
Fractional coordinates of all 4 atoms:
La: 0.000 0.000 0.000
Te: 0.500 0.500 0.000
Br: 0.152 0.652 0.500
Br: 0.848 0.348 0.500

SG: Immm, No. 71
Theoretical density: 4.4 g cm⁻³


Relative energy of each structure, in eV/atom: 1 0.000; 2 0.050.


--- 1 ---
Entry from Alexandria: a relaxed LaTeBr2 crystal (PBE).

Cell lengths 11.191, 11.191, 11.191 Å; angles 154.55, 154.55, 36.31 degrees
Fractional coordinates of all 8 atoms:
La: 0.000 0.000 0.000
La: 0.750 0.250 0.500
Te: 0.250 0.750 0.500
Te: 0.500 0.500 0.000
Br: 0.104 0.625 0.979
Br: 0.375 0.354 0.479
Br: 0.646 0.125 0.021
Br: 0.875 0.896 0.521

SG: I-42d, No. 122
Theoretical density: 5.5 g cm⁻³


--- 2 ---
Entry from Alexandria: a relaxed LaTeBr2 crystal (PBE).

Cell lengths 6.377, 6.358, 4.890 Å; angles 67.63, 67.21, 45.17 degrees
Fractional coordinates of all 4 atoms:
La: 0.000 0.000 0.000
Te: 0.500 0.500 0.500
Br: 0.000 0.500 0.000
Br: 0.500 0.000 0.500

SG: Fmmm, No. 69
Theoretical density: 5.5 g cm⁻³


Relative energy of each structure, in eV/atom: 1 0.000; 2 0.010.


--- 1 ---
Entry from Alexandria: a relaxed LaTeBr2 crystal (PBE).

Cell lengths 6.524, 4.102, 7.590 Å; angles 90.00, 115.38, 90.00 degrees
Fractional coordinates of all 4 atoms:
La: 0.000 0.000 0.000
Te: 0.500 0.000 0.000
Br: 0.153 0.500 0.305
Br: 0.847 0.500 0.695

SG: P2/m, No. 10
Theoretical density: 3.9 g cm⁻³


--- 2 ---
Entry from Alexandria: a relaxed LaTeBr2 crystal (PBE).

Cell lengths 8.792, 8.792, 8.792 Å; angles 155.59, 144.63, 43.44 degrees
Fractional coordinates of all 4 atoms:
La: 0.000 0.000 0.000
Te: 0.167 0.667 0.500
Br: 0.505 0.505 0.000
Br: 0.860 0.360 0.500

SG: Imm2, No. 44
Theoretical density: 4.4 g cm⁻³


Relative energy of each structure, in eV/atom: 1 0.000; 2 0.094.


--- 1 ---
Entry from Alexandria: a relaxed LaTe2Br crystal (PBE).

Cell lengths 12.851, 12.851, 12.851 Å; angles 159.88, 159.88, 28.61 degrees
Fractional coordinates of all 8 atoms:
La: 0.000 0.000 0.000
La: 0.750 0.250 0.500
Te: 0.116 0.625 0.991
Te: 0.375 0.366 0.491
Te: 0.634 0.125 0.009
Te: 0.875 0.884 0.509
Br: 0.250 0.750 0.500
Br: 0.500 0.500 0.000

SG: I-42d, No. 122
Theoretical density: 6.3 g cm⁻³


--- 2 ---
Entry from Alexandria: a relaxed LaTe2Br crystal (PBE).

Cell lengths 5.583, 5.583, 5.583 Å; angles 60.00, 60.00, 60.00 degrees
Fractional coordinates of all 4 atoms:
La: 0.000 0.000 0.000
Te: 0.250 0.250 0.250
Te: 0.750 0.750 0.750
Br: 0.500 0.500 0.500

SG: Fm-3m, No. 225
Theoretical density: 6.4 g cm⁻³


Relative energy of each structure, in eV/atom: 1 0.000; 2 0.237.


--- 1 ---
Entry from Alexandria: a relaxed LaTe2Br crystal (PBE).

Cell lengths 3.961, 3.961, 8.401 Å; angles 90.00, 90.00, 90.00 degrees
Fractional coordinates of all 4 atoms:
La: 0.000 0.000 0.000
Te: 0.000 0.000 0.400
Te: 0.500 0.500 0.197
Br: 0.500 0.500 0.793

SG: P4mm, No. 99
Theoretical density: 6.0 g cm⁻³


--- 2 ---
Entry from Alexandria: a relaxed LaTe2Br crystal (PBE).

Cell lengths 6.346, 6.346, 6.346 Å; angles 137.29, 137.29, 61.99 degrees
Fractional coordinates of all 4 atoms:
La: 0.000 0.000 0.000
Te: 0.250 0.750 0.500
Te: 0.750 0.250 0.500
Br: 0.500 0.500 0.000

SG: I4/mmm, No. 139
Theoretical density: 6.8 g cm⁻³


--- 3 ---
Entry from Alexandria: a relaxed LaTe2Br crystal (PBE).

Cell lengths 8.069, 8.069, 8.069 Å; angles 148.50, 140.57, 51.32 degrees
Fractional coordinates of all 4 atoms:
La: 0.000 0.000 0.000
Te: 0.430 0.430 0.000
Te: 0.846 0.346 0.500
Br: 0.141 0.641 0.500

SG: Imm2, No. 44
Theoretical density: 4.5 g cm⁻³


Relative energy of each structure, in eV/atom: 1 0.205; 2 0.025; 3 0.000.


--- 1 ---
Entry from Alexandria: a relaxed LaTe2Br crystal (PBE).

Cell lengths 6.002, 6.002, 6.002 Å; angles 131.42, 131.42, 71.14 degrees
Fractional coordinates of all 4 atoms:
La: 0.000 0.000 0.000
Te: 0.250 0.750 0.500
Te: 0.500 0.500 0.000
Br: 0.750 0.250 0.500

SG: I-4m2, No. 119
Theoretical density: 6.6 g cm⁻³


--- 2 ---
Entry from Alexandria: a relaxed LaTe2Br crystal (PBE).

Cell lengths 4.392, 4.392, 6.651 Å; angles 90.00, 90.00, 90.00 degrees
Fractional coordinates of all 4 atoms:
La: 0.000 0.000 0.000
Te: 0.500 0.500 0.210
Te: 0.500 0.500 0.790
Br: 0.000 0.000 0.500

SG: P4/mmm, No. 123
Theoretical density: 6.1 g cm⁻³


--- 3 ---
Entry from Alexandria: a relaxed LaTe2Br crystal (PBE).

Cell lengths 5.476, 4.723, 5.968 Å; angles 90.00, 102.75, 90.00 degrees
Fractional coordinates of all 4 atoms:
La: 0.000 0.000 0.000
Te: 0.409 0.500 0.204
Te: 0.591 0.500 0.796
Br: 0.000 0.000 0.500

SG: P2/m, No. 10
Theoretical density: 5.2 g cm⁻³


--- 4 ---
Entry from Alexandria: a relaxed LaTe2Br crystal (PBE).

Cell lengths 7.510, 7.510, 5.366 Å; angles 98.28, 98.28, 32.88 degrees
Fractional coordinates of all 4 atoms:
La: 0.000 0.000 0.000
Te: 0.512 0.512 0.494
Te: 0.662 0.662 0.221
Br: 0.348 0.348 0.860

SG: Cm, No. 8
Theoretical density: 4.8 g cm⁻³


Relative energy of each structure, in eV/atom: 1 0.341; 2 0.052; 3 0.021; 4 0.000.


--- 1 ---
Entry from Alexandria: a relaxed LaTe2Br crystal (PBE).

Cell lengths 11.416, 11.416, 11.416 Å; angles 18.56, 18.56, 18.56 degrees
Fractional coordinates of all 4 atoms:
La: 0.000 0.000 0.000
Te: 0.092 0.092 0.092
Te: 0.908 0.908 0.908
Br: 0.500 0.500 0.500

SG: R-3m, No. 166
Theoretical density: 6.0 g cm⁻³


--- 2 ---
Entry from Alexandria: a relaxed LaTe2Br crystal (PBE).

Cell lengths 5.543, 5.543, 5.543 Å; angles 60.00, 60.00, 60.00 degrees
Fractional coordinates of all 4 atoms:
La: 0.000 0.000 0.000
Te: 0.250 0.250 0.250
Te: 0.500 0.500 0.500
Br: 0.750 0.750 0.750

SG: F-43m, No. 216
Theoretical density: 6.5 g cm⁻³


--- 3 ---
Entry from Alexandria: a relaxed LaTe2Br crystal (PBE).

Cell lengths 4.740, 4.740, 5.464 Å; angles 90.00, 90.00, 100.32 degrees
Fractional coordinates of all 4 atoms:
La: 0.000 0.000 0.000
Te: 0.000 0.500 0.500
Te: 0.500 0.000 0.500
Br: 0.500 0.500 0.000

SG: Cmmm, No. 65
Theoretical density: 6.5 g cm⁻³


Relative energy of each structure, in eV/atom: 1 1.180; 2 0.224; 3 0.000.